1.
DFT (PBE) results for a relaxed structure of NaCa2ZnPt.

a b c (Å): 5.5720 5.5720 4.9777
angles (deg): 90.00 90.00 90.00
With the nearest neighbours (Å) after each atom.
Fractional positions:
Na 0.0000 0.0000 0.0000  8 Ca 3.74, 4 Zn 3.94
Ca 0.0000 0.5000 0.5000  2 Pt 2.79
Ca 0.5000 0.0000 0.5000  2 Pt 2.79
Zn 0.5000 0.5000 0.0000  2 Pt 2.49
Pt 0.5000 0.5000 0.5000  2 Zn 2.49, 4 Ca 2.79

- Calculated total energy: -2.92 eV per atom
- Spin magnetization: 0.00 Bohr magnetons per cell
- Energy relative to the elements: -37.7 kJ per mole of atoms
- DOS at the Fermi energy: 1.05 states/eV/f.u.

***

2.
DFT (PBE) results for a relaxed structure of NaCaZn2Pt.

a b c (Å): 4.9856 4.9856 5.3453
angles (deg): 90.00 90.00 90.00
With the nearest neighbours (Å) after each atom.
Fractional positions:
Na 0.0000 0.0000 0.0000  4 Ca 3.53, 8 Zn 3.65
Ca 0.5000 0.5000 0.0000  2 Pt 2.67
Zn 0.0000 0.5000 0.5000  2 Pt 2.49
Zn 0.5000 0.0000 0.5000  2 Pt 2.49
Pt 0.5000 0.5000 0.5000  4 Zn 2.49, 2 Ca 2.67

- Calculated total energy: -2.66 eV per atom
- Spin magnetization: 0.00 Bohr magnetons per cell
- Energy relative to the elements: -27.2 kJ per mole of atoms
- DOS at the Fermi energy: 2.20 states/eV/f.u.